This record from Alexandria via LeMat-Bulk describes Nd3PI7 after structural relaxation. The functional is PBE.

Cell lengths 9.0921, 9.0921, 7.5376 Å; angles 90.00, 90.00, 120.00 degrees
Element x y z (fractional)
Nd  0.1719  0.3438  0.0000
Nd  0.1719  0.8281  0.0000
Nd  0.6562  0.8281  0.0000
P  0.3333  0.6667  0.1601
I  0.0000  0.0000  0.7483
I  0.0090  0.5045  0.7533
I  0.3250  0.1625  0.2282
I  0.4955  0.5045  0.7533
I  0.4955  0.9910  0.7533
I  0.8375  0.1625  0.2282
I  0.8375  0.6750  0.2282

Computed properties:
The calculation puts the formation energy from raw total energies at -1216 meV/atom. The space group is P3m1, No. 156.